Entry 1
The following is a GGA-PBE calculation of a geometry-optimized HgIrCl2 structure, from the Alexandria database.

abc: 3.463 5.969 8.903
angles: 90.00 90.00 90.00
Space group Cmm2 (No. 35)
Unique sites:
Hg  0.000  0.000  0.000 [2 per cell]
Ir  0.000  0.500  0.233 [2 per cell]
Cl  0.000  0.000  0.406 [2 per cell]
Cl  0.000  0.500  0.786 [2 per cell]

Computed properties:
D(E_F)   6.1 states/eV per cell

---

Entry 2
The following is a GGA-PBE calculation of a geometry-optimized HgIrCl2 structure, from the Alexandria database.

abc: 3.163 3.163 9.740
angles: 90.00 90.00 90.00
Space group P4/mmm (No. 123)
Unique sites:
Hg  0.000  0.000  0.000 [1 per cell]
Ir  0.000  0.000  0.500 [1 per cell]
Cl  0.500  0.500  0.337 [2 per cell]

Computed properties:
D(E_F)   2.5 states/eV per cell

---

Entry 3
The following is a GGA-PBE calculation of a geometry-optimized HgIrCl2 structure, from the Alexandria database.

abc: 4.557 4.557 7.580
angles: 90.00 90.00 90.00
Space group I4/mmm (No. 139)
Unique sites:
Hg  0.000  0.000  0.000 [2 per cell]
Ir  0.000  0.000  0.500 [2 per cell]
Cl  0.000  0.500  0.250 [4 per cell]

Computed properties:
D(E_F)   5.7 states/eV per cell

---

Entry 4
The following is a GGA-PBE calculation of a geometry-optimized HgIrCl2 structure, from the Alexandria database.

abc: 3.439 5.313 9.776
angles: 90.00 90.00 90.00
Space group Amm2 (No. 38)
Unique sites:
Hg  0.000  0.000  0.000 [2 per cell]
Ir  0.500  0.000  0.217 [2 per cell]
Cl  0.000  0.000  0.371 [2 per cell]
Cl  0.500  0.000  0.740 [2 per cell]

Computed properties:
D(E_F)   3.0 states/eV per cell

---

Relative calculated energies, zero for the most stable structure, unit eV/atom: entry 1 0.085; entry 2 0.470; entry 3 0.787; entry 4 0.000.

---

Entry 1
The following is a GGA-PBE calculation of a geometry-optimized HgIrCl2 structure, from the Alexandria database.

abc: 7.226 7.226 10.228
angles: 90.00 90.00 90.00
Space group I-42d (No. 122)
Unique sites:
Hg  0.000  0.000  0.000 [4 per cell]
Ir  0.000  0.000  0.500 [4 per cell]
Cl  0.088  0.250  0.625 [8 per cell]

Computed properties:
D(E_F)   16.3 states/eV per cell

---

Entry 2
The following is a GGA-PBE calculation of a geometry-optimized HgIrCl2 structure, from the Alexandria database.

abc: 5.151 5.151 3.041
angles: 90.00 90.00 90.00
Space group P4/mmm (No. 123)
Unique sites:
Hg  0.000  0.000  0.000 [1 per cell]
Ir  0.500  0.500  0.000 [1 per cell]
Cl  0.000  0.500  0.500 [2 per cell]

Computed properties:
D(E_F)   3.7 states/eV per cell

---

Relative calculated energies, zero for the most stable structure, unit eV/atom: entry 1 0.000; entry 2 0.620.

---

Entry 1
The following is a GGA-PBE calculation of a geometry-optimized Hg3IrCl structure, from the Alexandria database.

abc: 5.263 5.263 5.263
angles: 90.00 90.00 90.00
Space group Pm-3m (No. 221)
Unique sites:
Hg  0.000  0.000  0.500 [3 per cell]
Ir  0.000  0.000  0.000 [1 per cell]
Cl  0.500  0.500  0.500 [1 per cell]

Computed properties:
D(E_F)   6.8 states/eV per cell

---

Entry 2
The following is a GGA-PBE calculation of a geometry-optimized Hg3IrCl structure, from the Alexandria database.

abc: 5.359 5.359 5.359
angles: 90.00 90.00 90.00
Space group Pm-3m (No. 221)
Unique sites:
Hg  0.000  0.000  0.500 [3 per cell]
Ir  0.500  0.500  0.500 [1 per cell]
Cl  0.000  0.000  0.000 [1 per cell]

Computed properties:
D(E_F)   3.8 states/eV per cell

---

Relative calculated energies, zero for the most stable structure, unit eV/atom: entry 1 0.000; entry 2 1.086.

---

Entry 1
The following is a GGA-PBE calculation of a geometry-optimized HgIrSCl2 structure, from the Alexandria database.

abc: 5.067 5.067 5.149
angles: 90.00 90.00 90.00
Space group P4/mmm (No. 123)
Unique sites:
Hg  0.000  0.000  0.000 [1 per cell]
Ir  0.500  0.500  0.500 [1 per cell]
S  0.000  0.000  0.500 [1 per cell]
Cl  0.000  0.500  0.000 [2 per cell]

Computed properties:
D(E_F)   9.6 states/eV per cell

---

Entry 2
The following is a GGA-PBE calculation of a geometry-optimized HgIrSCl2 structure, from the Alexandria database.

abc: 5.064 5.064 4.445
angles: 90.00 90.00 90.00
Space group P4/mmm (No. 123)
Unique sites:
Hg  0.000  0.000  0.000 [1 per cell]
Ir  0.500  0.500  0.500 [1 per cell]
S  0.500  0.500  0.000 [1 per cell]
Cl  0.000  0.500  0.500 [2 per cell]

Computed properties:
D(E_F)   3.4 states/eV per cell

---

Relative calculated energies, zero for the most stable structure, unit eV/atom: entry 1 1.185; entry 2 0.000.

---

Entry 1
The following is a GGA-PBE calculation of a geometry-optimized K2HgCl structure, from the Alexandria database.

abc: 3.911 3.911 8.648
angles: 90.00 90.00 90.00
Space group P4/mmm (No. 123)
Unique sites:
K  0.000  0.000  0.216 [2 per cell]
Hg  0.500  0.500  0.500 [1 per cell]
Cl  0.500  0.500  0.000 [1 per cell]

Computed properties:
D(E_F)   1.8 states/eV per cell

---

Entry 2
The following is a GGA-PBE calculation of a geometry-optimized K2HgCl structure, from the Alexandria database.

abc: 4.3637 4.3637 27.5585
angles: 90.00 90.00 120.00
Space group R3m (No. 160, hexagonal axes)
Unique sites:
K  0.0000  0.0000  0.0000 [3 per cell]
K  0.0000  0.0000  0.1936 [3 per cell]
Hg  0.0000  0.0000  0.4296 [3 per cell]
Cl  0.0000  0.0000  0.5969 [3 per cell]

Computed properties:
D(E_F)   6.7 states/eV per cell

---

Relative calculated energies, zero for the most stable structure, unit eV/atom: entry 1 0.000; entry 2 0.008.

---

Entry 1
The following is a GGA-PBE calculation of a geometry-optimized K2HgCl structure, from the Alexandria database.

abc: 4.705 4.705 14.155
angles: 90.00 90.00 90.00
Space group I-4m2 (No. 119)
Unique sites:
K  0.000  0.000  0.000 [2 per cell]
K  0.000  0.500  0.250 [2 per cell]
Hg  0.000  0.000  0.500 [2 per cell]
Cl  0.000  0.500  0.750 [2 per cell]

Computed properties:
D(E_F)   4.1 states/eV per cell

---

Entry 2
The following is a GGA-PBE calculation of a geometry-optimized K2HgCl structure, from the Alexandria database.

abc: 3.962 4.207 18.103
angles: 90.00 90.00 90.00
Space group Imm2 (No. 44)
Unique sites:
K  0.000  0.000  0.000 [2 per cell]
K  0.000  0.500  0.211 [2 per cell]
Hg  0.000  0.000  0.379 [2 per cell]
Cl  0.000  0.500  0.637 [2 per cell]

Computed properties:
D(E_F)   3.3 states/eV per cell

---

Entry 3
The following is a GGA-PBE calculation of a geometry-optimized K2HgCl structure, from the Alexandria database.

abc: 4.423 7.486 10.486
angles: 90.00 90.00 90.00
Space group Immm (No. 71)
Unique sites:
K  0.000  0.000  0.198 [4 per cell]
Hg  0.000  0.500  0.000 [2 per cell]
Cl  0.000  0.500  0.500 [2 per cell]

Computed properties:
D(E_F)   4.4 states/eV per cell

---

Entry 4
The following is a GGA-PBE calculation of a geometry-optimized K2HgCl structure, from the Alexandria database.

abc: 7.558 4.362 9.520
angles: 90.00 105.27 90.00
Space group C2/m (No. 12)
Unique sites:
K  0.236  0.000  0.209 [4 per cell]
Hg  0.000  0.000  0.500 [2 per cell]
Cl  0.000  0.500  0.000 [2 per cell]

Computed properties:
D(E_F)   4.5 states/eV per cell

---

Relative calculated energies, zero for the most stable structure, unit eV/atom: entry 1 0.148; entry 2 0.013; entry 3 0.123; entry 4 0.000.

---

Entry 1
The following is a GGA-PBE calculation of a geometry-optimized KHg3Cl structure, from the Alexandria database.

abc: 6.351 6.351 6.351
angles: 90.00 90.00 90.00
Space group Pm-3m (No. 221)
Unique sites:
K  0.000  0.000  0.000 [1 per cell]
Hg  0.000  0.500  0.500 [3 per cell]
Cl  0.500  0.500  0.500 [1 per cell]

Computed properties:
D(E_F)   0.0 states/eV per cell

---

Entry 2
The following is a GGA-PBE calculation of a geometry-optimized KHg3Cl structure, from the Alexandria database.

abc: 6.494 6.494 6.494
angles: 90.00 90.00 90.00
Space group Pm-3m (No. 221)
Unique sites:
K  0.000  0.000  0.000 [1 per cell]
Hg  0.000  0.000  0.500 [3 per cell]
Cl  0.500  0.500  0.500 [1 per cell]

Computed properties:
D(E_F)   0.0 states/eV per cell

---

Relative calculated energies, zero for the most stable structure, unit eV/atom: entry 1 0.000; entry 2 0.063.

---

Entry 1
The following is a GGA-PBE calculation of a geometry-optimized La2HgCl structure, from the Alexandria database.

abc: 3.9072 3.9072 31.6497
angles: 90.00 90.00 120.00
Space group R3m (No. 160, hexagonal axes)
Unique sites:
La  0.0000  0.0000  0.0000 [3 per cell]
La  0.0000  0.0000  0.2400 [3 per cell]
Hg  0.0000  0.0000  0.7440 [3 per cell]
Cl  0.0000  0.0000  0.5134 [3 per cell]

Computed properties:
D(E_F)   7.5 states/eV per cell

---

Entry 2
The following is a GGA-PBE calculation of a geometry-optimized La2HgCl structure, from the Alexandria database.

abc: 7.684 7.684 7.684
angles: 90.00 90.00 90.00
Space group Fm-3m (No. 225)
Unique sites:
La  0.250  0.250  0.250 [8 per cell]
Hg  0.000  0.000  0.000 [4 per cell]
Cl  0.000  0.000  0.500 [4 per cell]

Computed properties:
D(E_F)   27.8 states/eV per cell

---

Relative calculated energies, zero for the most stable structure, unit eV/atom: entry 1 0.057; entry 2 0.000.

---

Entry 1
The following is a GGA-PBE calculation of a geometry-optimized La2HgCl structure, from the Alexandria database.

abc: 3.903 3.839 8.295
angles: 90.00 90.15 90.00
Space group P2/m (No. 10)
Unique sites:
La  0.001  0.000  0.229 [2 per cell]
Hg  0.500  0.500  0.000 [1 per cell]
Cl  0.000  0.500  0.500 [1 per cell]

Computed properties:
D(E_F)   3.0 states/eV per cell

---

Entry 2
The following is a GGA-PBE calculation of a geometry-optimized La2HgCl structure, from the Alexandria database.

abc: 7.538 9.213 7.192
angles: 90.00 102.01 90.00
Space group P2_1/c (No. 14)
Unique sites:
La  0.070  0.245  0.032 [4 per cell]
La  0.387  0.621  0.265 [4 per cell]
Hg  0.200  0.550  0.791 [4 per cell]
Cl  0.377  0.177  0.859 [4 per cell]

Computed properties:
D(E_F)   17.3 states/eV per cell

---

Relative calculated energies, zero for the most stable structure, unit eV/atom: entry 1 0.000; entry 2 0.034.

---

Entry 1
The following is a GGA-PBE calculation of a geometry-optimized La2HgCl structure, from the Alexandria database.

abc: 7.678 7.678 7.678
angles: 90.00 90.00 90.00
Space group F-43m (No. 216)
Unique sites:
La  0.000  0.000  0.000 [4 per cell]
La  0.250  0.250  0.250 [4 per cell]
Hg  0.250  0.250  0.750 [4 per cell]
Cl  0.000  0.000  0.500 [4 per cell]

Computed properties:
D(E_F)   26.8 states/eV per cell

---

Entry 2
The following is a GGA-PBE calculation of a geometry-optimized La2HgCl structure, from the Alexandria database.

abc: 5.158 3.684 12.334
angles: 90.00 90.00 90.00
Space group Amm2 (No. 38)
Unique sites:
La  0.000  0.000  0.000 [2 per cell]
La  0.500  0.000  0.262 [2 per cell]
Hg  0.500  0.000  0.527 [2 per cell]
Cl  0.000  0.000  0.764 [2 per cell]

Computed properties:
D(E_F)   7.3 states/eV per cell

---

Relative calculated energies, zero for the most stable structure, unit eV/atom: entry 1 0.680; entry 2 0.000.

---

Entry 1
The following is a GGA-PBE calculation of a geometry-optimized La2HgCl structure, from the Alexandria database.

abc: 6.160 6.160 15.851
angles: 90.00 90.00 90.00
Space group I-42d (No. 122)
Unique sites:
La  0.221  0.250  0.125 [8 per cell]
Hg  0.000  0.000  0.500 [4 per cell]
Cl  0.000  0.000  0.000 [4 per cell]

Computed properties:
D(E_F)   22.0 states/eV per cell

---

Entry 2
The following is a GGA-PBE calculation of a geometry-optimized La2HgCl structure, from the Alexandria database.

abc: 7.622 4.376 7.576
angles: 90.00 109.38 90.00
Space group C2/m (No. 12)
Unique sites:
La  0.241  0.000  0.225 [4 per cell]
Hg  0.000  0.000  0.500 [2 per cell]
Cl  0.000  0.500  0.000 [2 per cell]

Computed properties:
D(E_F)   7.7 states/eV per cell

---

Relative calculated energies, zero for the most stable structure, unit eV/atom: entry 1 0.340; entry 2 0.000.

---

Entry 1
The following is a GGA-PBE calculation of a geometry-optimized LaHgCl2 structure, from the Alexandria database.

abc: 7.460 7.460 7.460
angles: 90.00 90.00 90.00
Space group F-43m (No. 216)
Unique sites:
La  0.000  0.000  0.000 [4 per cell]
Hg  0.250  0.250  0.250 [4 per cell]
Cl  0.000  0.000  0.500 [4 per cell]
Cl  0.250  0.250  0.750 [4 per cell]

Computed properties:
D(E_F)   18.8 states/eV per cell

---

Entry 2
The following is a GGA-PBE calculation of a geometry-optimized LaHgCl2 structure, from the Alexandria database.

abc: 4.3811 4.3811 35.1255
angles: 90.00 90.00 120.00
Space group R-3m (No. 166, hexagonal axes)
Unique sites:
La  0.0000  0.0000  0.0000 [3 per cell]
Hg  0.0000  0.0000  0.5000 [3 per cell]
Cl  0.0000  0.0000  0.0728 [6 per cell]

Computed properties:
D(E_F)   5.3 states/eV per cell

---

Entry 3
The following is a GGA-PBE calculation of a geometry-optimized LaHgCl2 structure, from the Alexandria database.

abc: 4.802 4.802 8.659
angles: 90.00 90.00 90.00
Space group I4/mmm (No. 139)
Unique sites:
La  0.000  0.000  0.000 [2 per cell]
Hg  0.000  0.000  0.500 [2 per cell]
Cl  0.000  0.500  0.250 [4 per cell]

Computed properties:
D(E_F)   7.2 states/eV per cell

---

Relative calculated energies, zero for the most stable structure, unit eV/atom: entry 1 0.236; entry 2 0.388; entry 3 0.000.